a:
Computed, not measured: GeAsOsO after structural relaxation at the PBE level of DFT.

Values from the calculation:
Mass density ... 8.5 Mg/m³
Total magnetization ... 0.00 Bohr magnetons per cell
Space group ... No. 129

The structure in CIF format:
```
data_GeAsOsO
_chemical_formula_sum 'Ge2 As2 Os2 O2'
_cell_length_a 3.7357
_cell_length_b 3.7357
_cell_length_c 9.8931
_cell_angle_alpha 90.00
_cell_angle_beta 90.00
_cell_angle_gamma 90.00
_symmetry_space_group_name_H-M 'P 1'
_symmetry_Int_Tables_number 1
loop_
_symmetry_equiv_pos_as_xyz
'x,y,z'
loop_
_atom_site_label
_atom_site_fract_x
_atom_site_fract_y
_atom_site_fract_z
Ge1 0.2500 0.2500 0.1009
Ge2 0.7500 0.7500 0.8991
As1 0.2500 0.2500 0.6703
As2 0.7500 0.7500 0.3297
Os1 0.2500 0.7500 0.5000
Os2 0.7500 0.2500 0.5000
O1 0.2500 0.7500 0.0000
O2 0.7500 0.2500 0.0000
```

***

b:
Computed, not measured: GeAsOsO after structural relaxation at the PBE level of DFT.

Values from the calculation:
Mass density ... 8.8 Mg/m³
Total magnetization ... 0.00 Bohr magnetons per cell
Space group ... No. 26

The structure in CIF format:
```
data_GeAsOsO
_chemical_formula_sum 'Ge2 As2 Os2 O2'
_cell_length_a 3.8190
_cell_length_b 6.5853
_cell_length_c 5.2886
_cell_angle_alpha 90.00
_cell_angle_beta 90.00
_cell_angle_gamma 90.00
_symmetry_space_group_name_H-M 'P 1'
_symmetry_Int_Tables_number 1
loop_
_symmetry_equiv_pos_as_xyz
'x,y,z'
loop_
_atom_site_label
_atom_site_fract_x
_atom_site_fract_y
_atom_site_fract_z
Ge1 0.0000 0.1163 0.0000
Ge2 0.0000 0.8837 0.5000
As1 0.0000 0.3140 0.4549
As2 0.0000 0.6860 0.9549
Os1 0.5000 0.4647 0.6708
Os2 0.5000 0.5353 0.1708
O1 0.5000 0.2566 0.9599
O2 0.5000 0.7435 0.4599
```

***

Most stable of them? a.